VASP calculation (GGA-PBE) on Cd8Sn after structural relaxation.

Geometry as POSCAR:
```
Cd8Sn
1.0
5.0693 0.0000 0.0000
2.5202 4.9934 0.0000
0.7935 -0.0246 8.4218
Cd Sn
8 1
direct
0.0086 0.3328 0.3361
0.3262 0.9996 0.6628
0.3295 0.3409 0.0004
0.3413 0.6678 0.3354
0.6587 0.3322 0.6646
0.6705 0.6591 0.9996
0.6738 0.0004 0.3372
0.9914 0.6672 0.6639
0.0000 0.0000 0.0000
```

Summary:
- total magnetic moment (μB/f.u.) = 0.00
- final energy (eV/cell) = -11.1

***

VASP calculation (GGA-PBE) on CdSn4 after structural relaxation.

Geometry as POSCAR:
```
CdSn4
1.0
-1.7362 2.2508 8.6174
1.7362 -2.2508 8.6174
1.7362 2.2508 -8.6174
Cd Sn
1 4
direct
0.0000 0.0000 0.0000
0.1959 0.1959 0.0000
0.4049 0.4049 0.0000
0.5951 0.5951 0.0000
0.8041 0.8041 0.0000
```

Summary:
- relative energy among the computed polymorphs (meV per atom) = 0
- total magnetic moment (μB/f.u.) = 0.00
- final energy (eV/cell) = -16.7

***

VASP calculation (GGA-PBE) on Cd2Sn after structural relaxation.

Geometry as POSCAR:
```
Cd2Sn
1.0
0.0000 4.2311 4.2311
4.2311 0.0000 4.2311
4.2311 4.2311 0.0000
Cd Sn
4 2
direct
0.0000 0.0000 0.0000
0.0000 0.0000 0.5000
0.0000 0.5000 0.0000
0.5000 0.0000 0.0000
0.3750 0.3750 0.3750
0.6250 0.6250 0.6250
```

Summary:
- total magnetic moment (μB/f.u.) = 0.00
- final energy (eV/cell) = -11.0

***

VASP calculation (GGA-PBE) on Cd13Sn2 after structural relaxation.

Geometry as POSCAR:
```
Cd13Sn2
1.0
3.9399 2.2747 7.8598
-3.9399 2.2747 7.8598
0.0000 -4.5494 7.8598
Cd Sn
13 2
direct
0.0000 0.0000 0.0000
0.1151 0.1151 0.5019
0.1151 0.5019 0.1151
0.2537 0.2537 0.6273
0.2537 0.6273 0.2537
0.3727 0.7463 0.7463
0.4981 0.8849 0.8849
0.5019 0.1151 0.1151
0.6273 0.2537 0.2537
0.7463 0.3727 0.7463
0.7463 0.7463 0.3727
0.8849 0.4981 0.8849
0.8849 0.8849 0.4981
0.1360 0.1360 0.1360
0.8640 0.8640 0.8640
```

Summary:
- relative energy among the computed polymorphs (meV per atom) = 104
- total magnetic moment (μB/f.u.) = 0.00
- final energy (eV/cell) = -18.0

***

VASP calculation (GGA-PBE) on CdSn2 after structural relaxation.

Geometry as POSCAR:
```
CdSn2
1.0
0.0000 4.4221 4.4221
4.4221 0.0000 4.4221
4.4221 4.4221 0.0000
Cd Sn
2 4
direct
0.1250 0.1250 0.1250
0.8750 0.8750 0.8750
0.0000 0.5000 0.5000
0.5000 0.0000 0.5000
0.5000 0.5000 0.0000
0.5000 0.5000 0.5000
```

Summary:
- relative energy among the computed polymorphs (meV per atom) = 167
- total magnetic moment (μB/f.u.) = 0.00
- final energy (eV/cell) = -16.5

***

VASP calculation (GGA-PBE) on Sr3Cd6Sn5 after structural relaxation.

Geometry as POSCAR:
```
Sr3Cd6Sn5
1.0
4.7786 0.0000 0.0000
0.0000 14.2377 0.0000
0.0000 0.0000 11.5420
Sr Cd Sn
6 12 10
direct
0.2500 0.0654 0.2463
0.2500 0.4346 0.2463
0.2500 0.7500 0.2491
0.7500 0.2500 0.7509
0.7500 0.5654 0.7537
0.7500 0.9346 0.7537
0.2500 0.0843 0.6188
0.2500 0.2500 0.0356
0.2500 0.2500 0.4427
0.2500 0.4157 0.6188
0.2500 0.6004 0.9805
0.2500 0.8996 0.9805
0.7500 0.1004 0.0195
0.7500 0.3996 0.0195
0.7500 0.5843 0.3812
0.7500 0.7500 0.5573
0.7500 0.7500 0.9644
0.7500 0.9157 0.3812
0.2500 0.0901 0.8679
0.2500 0.4099 0.8679
0.2500 0.6124 0.5264
0.2500 0.7500 0.7836
0.2500 0.8876 0.5264
0.7500 0.1124 0.4736
0.7500 0.2500 0.2164
0.7500 0.3876 0.4736
0.7500 0.5901 0.1321
0.7500 0.9099 0.1321
```

Summary:
- total magnetic moment (μB/f.u.) = 0.00
- final energy (eV/cell) = -71.1

***

VASP calculation (GGA-PBE) on Sr6Cd23Sn after structural relaxation.

Geometry as POSCAR:
```
Sr6Cd23Sn
1.0
0.0000 7.3309 7.3309
7.3309 0.0000 7.3309
7.3309 7.3309 0.0000
Sr Cd Sn
6 23 1
direct
0.2216 0.2216 0.7784
0.2216 0.7784 0.2216
0.2216 0.7784 0.7784
0.7784 0.2216 0.2216
0.7784 0.2216 0.7784
0.7784 0.7784 0.2216
0.0000 0.0000 0.5000
0.0000 0.5000 0.0000
0.0000 0.5000 0.5000
0.1255 0.6248 0.6248
0.1650 0.1650 0.1650
0.1650 0.1650 0.5051
0.1650 0.5051 0.1650
0.3752 0.3752 0.3752
0.3752 0.3752 0.8745
0.3752 0.8745 0.3752
0.4949 0.8350 0.8350
0.5000 0.0000 0.0000
0.5000 0.0000 0.5000
0.5000 0.5000 0.0000
0.5000 0.5000 0.5000
0.5051 0.1650 0.1650
0.6248 0.1255 0.6248
0.6248 0.6248 0.1255
0.6248 0.6248 0.6248
0.8350 0.4949 0.8350
0.8350 0.8350 0.4949
0.8350 0.8350 0.8350
0.8745 0.3752 0.3752
0.0000 0.0000 0.0000
```

Summary:
- total magnetic moment (μB/f.u.) = 0.00
- final energy (eV/cell) = -42.6

***

VASP calculation (GGA-PBE) on Sr2CdSn2 after structural relaxation.

Geometry as POSCAR:
```
Sr2CdSn2
1.0
7.9607 0.0000 0.0000
0.0000 7.9607 0.0000
0.0000 0.0000 5.1020
Sr Cd Sn
4 2 4
direct
0.1689 0.3311 0.0000
0.3311 0.8311 0.0000
0.6689 0.1689 0.0000
0.8311 0.6689 0.0000
0.0000 0.0000 0.5000
0.5000 0.5000 0.5000
0.1332 0.6332 0.5000
0.3668 0.1332 0.5000
0.6332 0.8668 0.5000
0.8668 0.3668 0.5000
```

Summary:
- relative energy among the computed polymorphs (meV per atom) = 70
- total magnetic moment (μB/f.u.) = 0.00
- final energy (eV/cell) = -29.7

***

VASP calculation (GGA-PBE) on Sr3Cd5Sn2 after structural relaxation.

Geometry as POSCAR:
```
Sr3Cd5Sn2
1.0
7.5703 -6.5375 0.0000
7.5703 6.5375 0.0000
-3.1023 0.0000 6.1745
Sr Cd Sn
6 10 4
direct
0.0017 0.9983 0.7500
0.1424 0.6085 0.8767
0.3915 0.8576 0.6233
0.6085 0.1424 0.3767
0.8576 0.3915 0.1233
0.9983 0.0017 0.2500
0.2463 0.5046 0.3766
0.2512 0.2526 0.0047
0.2526 0.2512 0.5047
0.4954 0.7537 0.1234
0.4993 0.5007 0.7500
0.5007 0.4993 0.2500
0.5046 0.2463 0.8766
0.7474 0.7488 0.4953
0.7488 0.7474 0.9953
0.7537 0.4954 0.6234
0.0187 0.7083 0.3612
0.2917 0.9813 0.1388
0.7083 0.0187 0.8612
0.9813 0.2917 0.6388
```

Summary:
- total magnetic moment (μB/f.u.) = 0.00
- final energy (eV/cell) = -41.7

***

VASP calculation (GGA-PBE) on SrCd6Sn2 after structural relaxation.

Geometry as POSCAR:
```
SrCd6Sn2
1.0
4.6054 0.0000 0.0000
0.0000 4.6054 0.0000
0.0000 0.0000 11.0123
Sr Cd Sn
1 6 2
direct
0.0000 0.0000 0.0000
0.0000 0.0000 0.5000
0.0000 0.5000 0.3074
0.0000 0.5000 0.6926
0.5000 0.0000 0.3074
0.5000 0.0000 0.6926
0.5000 0.5000 0.5000
0.5000 0.5000 0.1337
0.5000 0.5000 0.8663
```

Summary:
- total magnetic moment (μB/f.u.) = 0.00
- final energy (eV/cell) = -16.6

***

VASP calculation (GGA-PBE) on SrCd12Sn4 after structural relaxation.

Geometry as POSCAR:
```
SrCd12Sn4
1.0
-5.0143 5.0143 5.0143
5.0143 -5.0143 5.0143
5.0143 5.0143 -5.0143
Sr Cd Sn
1 12 4
direct
0.0000 0.0000 0.0000
0.1464 0.3534 0.4998
0.1464 0.6466 0.7930
0.2070 0.8536 0.3534
0.3534 0.2070 0.8536
0.3534 0.4998 0.1464
0.4998 0.1464 0.3534
0.5002 0.8536 0.6466
0.6466 0.5002 0.8536
0.6466 0.7930 0.1464
0.7930 0.1464 0.6466
0.8536 0.3534 0.2070
0.8536 0.6466 0.5002
0.0000 0.0000 0.5000
0.0000 0.5000 0.0000
0.5000 0.0000 0.0000
0.5000 0.5000 0.5000
```

Summary:
- total magnetic moment (μB/f.u.) = 0.00
- final energy (eV/cell) = -27.4

***

VASP calculation (GGA-PBE) on SrCd2Sn after structural relaxation.

Geometry as POSCAR:
```
SrCd2Sn
1.0
3.8705 0.0000 0.0000
0.0000 3.8705 0.0000
0.0000 0.0000 7.6756
Sr Cd Sn
1 2 1
direct
0.0000 0.0000 0.0000
0.5000 0.5000 0.2803
0.5000 0.5000 0.7197
0.0000 0.0000 0.5000
```

Summary:
- total magnetic moment (μB/f.u.) = 0.00
- final energy (eV/cell) = -8.4

***

VASP calculation (GGA-PBE) on Sr4CdSn2 after structural relaxation.

Geometry as POSCAR:
```
Sr4CdSn2
1.0
2.8575 1.6498 9.2917
-2.8575 1.6498 9.2917
0.0000 -3.2996 9.2917
Sr Cd Sn
4 1 2
direct
0.1245 0.1245 0.1245
0.3749 0.3749 0.3749
0.6251 0.6251 0.6251
0.8755 0.8755 0.8755
0.5000 0.5000 0.5000
0.2507 0.2507 0.2507
0.7493 0.7493 0.7493
```

Summary:
- total magnetic moment (μB/f.u.) = 0.00
- final energy (eV/cell) = -19.6

***

VASP calculation (GGA-PBE) on Sr2Cd15Sn2 after structural relaxation.

Geometry as POSCAR:
```
Sr2Cd15Sn2
1.0
5.2642 3.0393 4.9260
-5.2642 3.0393 4.9260
0.0000 -6.0786 4.9260
Sr Cd Sn
2 15 2
direct
0.1650 0.1650 0.1650
0.8350 0.8350 0.8350
0.0000 0.5000 0.5000
0.1477 0.1477 0.6707
0.1477 0.6707 0.1477
0.1875 0.5000 0.8125
0.1875 0.8125 0.5000
0.3293 0.8523 0.8523
0.5000 0.0000 0.5000
0.5000 0.1875 0.8125
0.5000 0.5000 0.0000
0.5000 0.8125 0.1875
0.6707 0.1477 0.1477
0.8125 0.1875 0.5000
0.8125 0.5000 0.1875
0.8523 0.3293 0.8523
0.8523 0.8523 0.3293
0.3990 0.3990 0.3990
0.6010 0.6010 0.6010
```

Summary:
- total magnetic moment (μB/f.u.) = 0.00
- final energy (eV/cell) = -28.1

***

VASP calculation (GGA-PBE) on Sr2CdSn2 after structural relaxation.

Geometry as POSCAR:
```
Sr2CdSn2
1.0
-3.2855 3.2855 4.4309
3.2855 -3.2855 4.4309
3.2855 3.2855 -4.4309
Sr Cd Sn
2 1 2
direct
0.2500 0.7500 0.5000
0.7500 0.2500 0.5000
0.0000 0.0000 0.0000
0.3361 0.3361 0.0000
0.6639 0.6639 0.0000
```

Summary:
- relative energy among the computed polymorphs (meV per atom) = 369
- total magnetic moment (μB/f.u.) = 0.00
- final energy (eV/cell) = -13.3

***

VASP calculation (GGA-PBE) on SrCd5Sn2 after structural relaxation.

Geometry as POSCAR:
```
SrCd5Sn2
1.0
-2.2581 4.1691 5.7427
2.2581 -4.1691 5.7427
2.2581 4.1691 -5.7427
Sr Cd Sn
1 5 2
direct
0.0000 0.0000 0.0000
0.1825 0.3710 0.8115
0.4406 0.6290 0.8115
0.5000 0.0000 0.5000
0.5594 0.3710 0.1885
0.8175 0.6290 0.1885
0.2411 0.7411 0.5000
0.7589 0.2589 0.5000
```

Summary:
- total magnetic moment (μB/f.u.) = 0.00
- final energy (eV/cell) = -15.5

***

VASP calculation (GGA-PBE) on Sr4CdSn12 after structural relaxation.

Geometry as POSCAR:
```
Sr4CdSn12
1.0
-5.0161 5.0161 5.0161
5.0161 -5.0161 5.0161
5.0161 5.0161 -5.0161
Sr Cd Sn
4 1 12
direct
0.0000 0.0000 0.5000
0.0000 0.5000 0.0000
0.5000 0.0000 0.0000
0.5000 0.5000 0.5000
0.0000 0.0000 0.0000
0.0000 0.3042 0.3042
0.0000 0.6958 0.6958
0.2500 0.5000 0.7500
0.2500 0.7500 0.5000
0.3042 0.0000 0.3042
0.3042 0.3042 0.0000
0.5000 0.2500 0.7500
0.5000 0.7500 0.2500
0.6958 0.0000 0.6958
0.6958 0.6958 0.0000
0.7500 0.2500 0.5000
0.7500 0.5000 0.2500
```

Summary:
- total magnetic moment (μB/f.u.) = 0.00
- final energy (eV/cell) = -61.6

***

VASP calculation (GGA-PBE) on SrCd2Sn after structural relaxation.

Geometry as POSCAR:
```
SrCd2Sn
1.0
4.6464 0.0000 0.0000
0.0000 4.6464 0.0000
0.0000 0.0000 11.0176
Sr Cd Sn
2 4 2
direct
0.2500 0.2500 0.2474
0.7500 0.7500 0.7526
0.2500 0.2500 0.9473
0.2500 0.7500 0.5000
0.7500 0.2500 0.5000
0.7500 0.7500 0.0527
0.2500 0.2500 0.6706
0.7500 0.7500 0.3294
```

Summary:
- total magnetic moment (μB/f.u.) = 0.00
- final energy (eV/cell) = -17.7

***

VASP calculation (GGA-PBE) on Sr2CdSn after structural relaxation.

Geometry as POSCAR:
```
Sr2CdSn
1.0
0.0000 4.0540 4.0540
4.0540 0.0000 4.0540
4.0540 4.0540 0.0000
Sr Cd Sn
2 1 1
direct
0.2500 0.2500 0.2500
0.7500 0.7500 0.7500
0.0000 0.0000 0.0000
0.5000 0.5000 0.5000
```

Summary:
- relative energy among the computed polymorphs (meV per atom) = 0
- total magnetic moment (μB/f.u.) = 0.00
- final energy (eV/cell) = -10.5

***

VASP calculation (GGA-PBE) on Sr3Cd2Sn2 after structural relaxation.

Geometry as POSCAR:
```
Sr3Cd2Sn2
1.0
6.0253 -2.5635 0.0000
6.0253 2.5635 0.0000
-2.2290 0.0000 7.4451
Sr Cd Sn
3 2 2
direct
0.0000 0.0000 0.0000
0.1617 0.1617 0.6156
0.8383 0.8383 0.3844
0.3092 0.3092 0.0595
0.6908 0.6908 0.9405
0.4598 0.4598 0.6748
0.5402 0.5402 0.3252
```

Summary:
- total magnetic moment (μB/f.u.) = 0.00
- final energy (eV/cell) = -18.5

***

no.,formation energy (eV per formula unit)
1,0.20
2,0.26
3,0.34
4,1.89
5,0.67
6,-5.01
7,-7.47
8,-2.55
9,-3.23
10,-1.41
11,1.25
12,-0.86
13,-3.98
14,-2.98
15,-1.06
16,-1.25
17,-5.92
18,-1.33
19,-2.20
20,-3.64